## Al2Bi2W (PBE-GGA)

Data for an optimized crystal structure of Al2Bi2W.

Calculated values
energy above the most stable polymorph in this dataset = 0.000 eV/atom
final energy = -4.9462 eV per atom
crystal system = tetragonal
calculated formation energy = 0.694 eV per atom

a = 7.0290 Å, b = 7.0290 Å, c = 4.6367 Å
α = 90.00°, β = 90.00°, γ = 90.00°
Atoms (fractional coordinates):
1 Bi 0.3274 0.1726 0.5000
2 Bi 0.6726 0.8274 0.5000
3 Bi 0.8274 0.3274 0.5000
4 Bi 0.1726 0.6726 0.5000
5 Al 0.6409 0.1409 0.0000
6 Al 0.3591 0.8591 0.0000
7 Al 0.8591 0.6409 0.0000
8 Al 0.1409 0.3591 0.0000
9 W 0.5000 0.5000 0.0000
10 W 0.0000 0.0000 0.0000


## AlBiW2 (PBE-GGA)

Data for an optimized crystal structure of AlBiW2.

Calculated values
energy above the most stable polymorph in this dataset = 0.000 eV/atom
final energy = -7.5370 eV per atom
crystal system = tetragonal
calculated formation energy = 0.846 eV per atom

a = 4.1060 Å, b = 4.1060 Å, c = 10.1257 Å
α = 78.30°, β = 78.30°, γ = 90.00°
Atoms (fractional coordinates):
1 W 0.1873 0.6250 0.2500
2 W 0.8750 0.8127 0.7500
3 W 0.3750 0.4373 0.7500
4 W 0.5627 0.1250 0.2500
5 Bi 0.0000 0.0000 0.0000
6 Bi 0.7500 0.2500 0.5000
7 Al 0.2500 0.7500 0.5000
8 Al 0.5000 0.5000 0.0000


## AlBi2W (PBE-GGA)

Data for an optimized crystal structure of AlBi2W.

Calculated values
energy above the most stable polymorph in this dataset = 0.000 eV/atom
final energy = -5.2379 eV per atom
crystal system = cubic
calculated formation energy = 0.876 eV per atom

a = 5.0062 Å, b = 5.0062 Å, c = 5.0062 Å
α = 60.00°, β = 60.00°, γ = 60.00°
Atoms (fractional coordinates):
1 W 0.5000 0.5000 0.5000
2 Al 0.0000 0.0000 0.0000
3 Bi 0.2500 0.2500 0.2500
4 Bi 0.7500 0.7500 0.7500


## AlBiW2 (PBE-GGA)

Data for an optimized crystal structure of AlBiW2.

Calculated values
energy above the most stable polymorph in this dataset = 0.054 eV/atom
final energy = -7.4825 eV per atom
crystal system = cubic
calculated formation energy = 0.900 eV per atom

a = 4.6584 Å, b = 4.6584 Å, c = 4.6584 Å
α = 60.00°, β = 60.00°, γ = 60.00°
Atoms (fractional coordinates):
1 W 0.7500 0.7500 0.7500
2 W 0.2500 0.2500 0.2500
3 Al 0.0000 0.0000 0.0000
4 Bi 0.5000 0.5000 0.5000